# 1
VASP calculation (GGA+U) on a relaxed structure of Mo2PdO.

Lattice parameters (Å, degrees): 5.6465 5.6465 5.6465 111.90 111.90 104.72
Positions (direct):
Mo1 0.0405 0.6250 0.9155
Mo2 0.3750 0.2905 0.4155
Mo3 0.7095 0.1250 0.0845
Mo4 0.8750 0.9595 0.5845
Pd1 0.2500 0.7500 0.5000
Pd2 0.5000 0.5000 0.0000
O1 0.0000 0.0000 0.0000
O2 0.7500 0.2500 0.5000

As for the crystal system: tetragonal. As for the energy: -5.85 eV/atom. The space group is I-42d.

# 2
VASP calculation (GGA+U) on a relaxed structure of Mo2Pd2O7.

Lattice parameters (Å, degrees): 5.5274 5.5274 6.2548 91.56 91.56 114.66
Positions (direct):
Mo1 0.2070 0.2070 0.3576
Mo2 0.7930 0.7930 0.6424
Pd1 0.3546 0.6454 0.0000
Pd2 0.6454 0.3546 0.0000
O1 0.0842 0.4056 0.1992
O2 0.1166 0.1166 0.6624
O3 0.4056 0.0842 0.1992
O4 0.5000 0.5000 0.5000
O5 0.5944 0.9158 0.8008
O6 0.8834 0.8834 0.3376
O7 0.9158 0.5944 0.8008

As for the crystal system: monoclinic. As for the energy: -6.41 eV/atom. The space group is C2/m.

# 3
VASP calculation (GGA+U) on a relaxed structure of MoPdO3.

Lattice parameters (Å, degrees): 3.9419 3.9419 3.9419 90.00 90.00 90.00
Positions (direct):
Mo1 0.0000 0.0000 0.0000
Pd1 0.5000 0.5000 0.5000
O1 0.0000 0.5000 0.5000
O2 0.5000 0.0000 0.5000
O3 0.5000 0.5000 0.0000

As for the crystal system: cubic. As for the energy: -5.35 eV/atom. The space group is Pm-3m.

# 4
VASP calculation (GGA+U) on a relaxed structure of MoPdO2.

Lattice parameters (Å, degrees): 6.8021 6.8021 6.8021 143.56 143.56 52.48
Positions (direct):
Mo1 0.0000 0.0000 0.0000
Mo2 0.7500 0.2500 0.5000
Pd1 0.2500 0.7500 0.5000
Pd2 0.5000 0.5000 0.0000
O1 0.0665 0.6250 0.9415
O2 0.3750 0.3165 0.4415
O3 0.6835 0.1250 0.0585
O4 0.8750 0.9335 0.5585

The value obtained for the energy above the most stable polymorph in this dataset is 0.214 eV/atom. As for the crystal system: tetragonal. The space group is I-42d.

# 5
VASP calculation (GGA+U) on a relaxed structure of Mo2PdO7.

Lattice parameters (Å, degrees): 5.9315 5.9315 3.7770 90.00 90.00 115.18
Positions (direct):
Mo1 0.1909 0.8091 0.0000
Mo2 0.8091 0.1909 0.0000
Pd1 0.5000 0.5000 0.5000
O1 0.0000 0.0000 0.0000
O2 0.1767 0.4590 0.0000
O3 0.1955 0.8045 0.5000
O4 0.4590 0.1767 0.0000
O5 0.5410 0.8233 0.0000
O6 0.8045 0.1955 0.5000
O7 0.8233 0.5410 0.0000

As for the crystal system: orthorhombic. As for the energy: -6.37 eV/atom. The space group is Cmmm.

# 6
VASP calculation (GGA+U) on a relaxed structure of Pm2MoPdO6.

Lattice parameters (Å, degrees): 5.3245 5.3245 5.3980 90.00 90.00 90.00
Positions (direct):
Pm1 0.0000 0.5000 0.0000
Pm2 0.5000 0.0000 0.0000
Mo1 0.0000 0.0000 0.5937
Pd1 0.5000 0.5000 0.4765
O1 0.0000 0.0000 0.2456
O2 0.2349 0.2349 0.7519
O3 0.2349 0.7651 0.7519
O4 0.5000 0.5000 0.1100
O5 0.7651 0.2349 0.7519
O6 0.7651 0.7651 0.7519

As for the crystal system: tetragonal. As for the energy: -7.16 eV/atom. The space group is P4mm.

# 7
VASP calculation (GGA+U) on a relaxed structure of RbMo2PdO8.

Lattice parameters (Å, degrees): 5.5000 5.5000 8.2860 90.00 90.00 120.00
Positions (direct):
Rb1 0.0000 0.0000 0.0000
Mo1 0.3333 0.6667 0.7116
Mo2 0.6667 0.3333 0.2884
Pd1 0.0000 0.0000 0.5000
O1 0.0489 0.3248 0.6493
O2 0.2759 0.9511 0.6493
O3 0.3248 0.2759 0.3507
O4 0.3333 0.6667 0.9234
O5 0.6667 0.3333 0.0766
O6 0.6752 0.7241 0.6493
O7 0.7241 0.0489 0.3507
O8 0.9511 0.6752 0.3507

As for the crystal system: trigonal. As for the energy: -6.35 eV/atom. The space group is P-3.

# 8
VASP calculation (GGA+U) on a relaxed structure of RbMo2PdO.

Lattice parameters (Å, degrees): 4.4710 4.4710 5.3568 90.00 90.00 90.00
Positions (direct):
Rb1 0.0000 0.0000 0.0000
Mo1 0.0000 0.5000 0.5000
Mo2 0.5000 0.0000 0.5000
Pd1 0.5000 0.5000 0.0000
O1 0.0000 0.0000 0.5000

As for the crystal system: tetragonal. As for the energy: -4.74 eV/atom. The space group is P4/mmm.